(1)
KYSF2 | PBE | relaxed

For the total energy, the calculation gives -6.0021 eV per atom.

The space group is P4/mmm (No. 123) and the conventional cell measures 4.498, 4.498 and 5.371 Å, with angles of 90.00, 90.00 and 90.00 degrees. The inequivalent atoms are K at (0.000, 0.000, 0.000), Y at (0.500, 0.500, 0.500), S at (0.500, 0.500, 0.000) and F at (0.000, 0.500, 0.500).

---

(2)
C3Se | PBE | relaxed

For the total energy, the calculation gives -6.4664 eV per atom. The energy above the most stable polymorph in this dataset comes out at 0.0 kJ per mole of atoms.

The space group is Pmmn (No. 59, origin choice 2) and the conventional cell measures 5.397, 7.431 and 3.782 Å, with angles of 90.00, 90.00 and 90.00 degrees. The inequivalent atoms are C at (0.012, 0.250, 0.088), C at (0.250, 0.250, 0.134) and Se at (0.250, 0.750, 0.604).